Record 1
# Dy4TmCd

Dy4TmCd after structural relaxation (PBE, Alexandria).

Results
The value obtained for the calculated volume is 723.1 Å³ per cell. The final energy comes out at -3.955 eV per atom. Its size of the total moment is 0.0 μB/f.u. The relative energy among the computed polymorphs comes out at 0.1011 eV/atom. The energy relative to the elements comes out at 11 meV per atom.

```
data_Dy4TmCd
_cell_length_a 8.650
_cell_length_b 14.096
_cell_length_c 6.279
_cell_angle_alpha 90.00
_cell_angle_beta 109.18
_cell_angle_gamma 90.00
_space_group_name_H-M_alt 'C 1 2/c 1'
_space_group_IT_number 15
loop_
_space_group_symop_operation_xyz
'x,y,z'
'-x,-y,-z'
'-x,y,-z+1/2'
'x,-y,z+1/2'
'x+1/2,y+1/2,z'
'-x+1/2,-y+1/2,-z'
'-x+1/2,y+1/2,-z+1/2'
'x+1/2,-y+1/2,z+1/2'
loop_
_atom_site_label
_atom_site_fract_x
_atom_site_fract_y
_atom_site_fract_z
Dy1 0.098 0.191 0.042
Dy2 0.215 0.377 0.378
Tm1 0.000 0.411 0.750
Cd1 0.000 0.000 0.250
```

Record 2
# Dy8Tm5Cd

Dy8Tm5Cd after structural relaxation (PBE, Alexandria).

Results
The value obtained for the calculated volume is 891.0 Å³ per cell. The final energy comes out at -4.085 eV per atom. Its size of the total moment is 0.0 μB/f.u. The energy relative to the elements comes out at 208 meV per atom.

```
data_Dy8Tm5Cd
_cell_length_a 9.506
_cell_length_b 9.506
_cell_length_c 9.860
_cell_angle_alpha 90.00
_cell_angle_beta 90.00
_cell_angle_gamma 90.00
_space_group_name_H-M_alt 'I -4'
_space_group_IT_number 82
loop_
_space_group_symop_operation_xyz
'x,y,z'
'y,-x,-z'
'-x,-y,z'
'-y,x,-z'
'x+1/2,y+1/2,z+1/2'
'y+1/2,-x+1/2,-z+1/2'
'-x+1/2,-y+1/2,z+1/2'
'-y+1/2,x+1/2,-z+1/2'
loop_
_atom_site_label
_atom_site_fract_x
_atom_site_fract_y
_atom_site_fract_z
Dy1 0.067 0.328 0.090
Dy2 0.090 0.185 0.754
Tm1 0.000 0.000 0.000
Tm2 0.102 0.204 0.419
Cd1 0.000 0.500 0.750
```

Quick rundown of mass density, same order as above: 8.55 8.41 g cm⁻³